Record 1
Density functional theory data (PBE-GGA) for LaTc3Pt after structural relaxation.

a = 4.6765 Å, b = 4.6765 Å, c = 4.6765 Å
α = 90.00°, β = 90.00°, γ = 90.00°
Sites, in units of the cell vectors:
Tc  0.0000  0.5000  0.0000
Tc  0.0000  0.0000  0.5000
Tc  0.5000  0.0000  0.0000
Pt  0.5000  0.5000  0.5000
La  0.0000  0.0000  0.0000

## Properties
**DFT formation energy**: 2.165 eV/atom
**D(E_F)**: 1.905 states/eV/atom

=====

Record 2
Density functional theory data (PBE-GGA) for I2O3 after structural relaxation.

a = 5.4665 Å, b = 5.6381 Å, c = 12.8483 Å
α = 90.00°, β = 90.00°, γ = 90.00°
Sites, in units of the cell vectors:
I  0.2746  0.9954  0.0920
I  0.2254  0.4954  0.4080
I  0.2746  0.5046  0.9080
I  0.2254  0.0046  0.5920
I  0.7254  0.0046  0.9080
I  0.7746  0.5046  0.5920
I  0.7254  0.4954  0.0920
I  0.7746  0.9954  0.4080
O  0.5285  0.7624  0.8396
O  0.9715  0.2624  0.6604
O  0.5285  0.7376  0.1604
O  0.9715  0.2376  0.3396
O  0.4715  0.2376  0.1604
O  0.0285  0.7376  0.3396
O  0.4715  0.2624  0.8396
O  0.0285  0.7624  0.6604
O  0.9494  0.7500  0.0000
O  0.5506  0.2500  0.5000
O  0.0506  0.2500  0.0000
O  0.4494  0.7500  0.5000

## Properties
**ΔE_f (raw)**: -6.3 kJ/mol of formula units
**D(E_F)**: 0.049 states/eV/atom

=====

Record 3
Density functional theory data (PBE-GGA) for Li2TaTl after structural relaxation.

a = 2.9458 Å, b = 2.9458 Å, c = 8.4042 Å
α = 90.00°, β = 90.00°, γ = 90.00°
Sites, in units of the cell vectors:
Li  0.0000  0.0000  0.9971
Li  0.0000  0.0000  0.5029
Ta  0.5000  0.5000  0.2500
Tl  0.5000  0.5000  0.7500

## Properties
**DFT formation energy**: 0.343 eV/atom
**D(E_F)**: 0.955 states/eV/atom

=====

Record 4
Density functional theory data (PBE-GGA) for AlCo2SnBr after structural relaxation.

a = 4.3535 Å, b = 5.9019 Å, c = 4.3535 Å
α = 90.00°, β = 90.00°, γ = 90.00°
Sites, in units of the cell vectors:
Co  0.0000  0.0000  0.5000
Co  0.5000  0.0000  0.0000
Sn  0.0000  0.5000  0.0000
Br  0.0000  0.0000  0.0000
Al  0.5000  0.5000  0.5000

## Properties
**ΔE_f (raw)**: 512.8 kJ/mol of formula units
**D(E_F)**: 0.780 states/eV/atom

=====

Record 5
Density functional theory data (PBE-GGA) for CaCo2Hg after structural relaxation.

a = 4.3539 Å, b = 4.0700 Å, c = 9.0368 Å
α = 90.00°, β = 96.84°, γ = 90.00°
Sites, in units of the cell vectors:
Ca  0.2986  0.2500  0.7535
Ca  0.7014  0.7500  0.2465
Co  0.8338  0.2500  0.5034
Co  0.1662  0.7500  0.4966
Co  0.3224  0.2500  0.4115
Co  0.6776  0.7500  0.5885
Hg  0.1825  0.2500  0.1043
Hg  0.8175  0.7500  0.8957

## Properties
**DFT formation energy**: -0.061 eV/atom
**D(E_F)**: 0.599 states/eV/atom

=====

Record 6
Density functional theory data (PBE-GGA) for KFe4As2 after structural relaxation.

a = 3.6598 Å, b = 3.6401 Å, c = 9.2492 Å
α = 101.35°, β = 90.00°, γ = 90.00°
Sites, in units of the cell vectors:
As  0.5000  0.6212  0.2423
As  0.5000  0.3788  0.7577
K  0.0000  0.0000  0.0000
Fe  0.5000  0.7930  0.5861
Fe  0.0000  0.7096  0.4192
Fe  0.5000  0.2070  0.4139
Fe  0.0000  0.2904  0.5808

## Properties
**DFT formation energy**: -0.162 eV/atom
**D(E_F)**: 0.408 states/eV/atom